1.
! ScBeMo | Alexandria via LeMat-Bulk | PBE | optimized geometry; values from VASP
! energy of formation	2.619	kcal/mol of atoms
! E above lowest polymorph	0.0	kJ/mol of atoms
! uncorrected energy	-20.55	eV/cell
&SYSTEM
  ibrav = 0, nat = 3, ntyp = 3
/
ATOMIC_SPECIES
Sc 44.96 Sc.upf
Be 9.01 Be.upf
Mo 95.94 Mo.upf
CELL_PARAMETERS angstrom
-1.4772 1.7153 4.5954
1.4772 -1.7153 4.5954
1.4772 1.7153 -4.5954
ATOMIC_POSITIONS crystal
Sc 0.0000 0.0000 0.0000
Be 0.6909 0.6909 0.0000
Mo 0.3028 0.3028 0.0000

2.
! ScTiBeMo | Alexandria via LeMat-Bulk | PBE | optimized geometry; values from VASP
! energy of formation	1.181	kcal/mol of atoms
! uncorrected energy	-28.58	eV/cell
&SYSTEM
  ibrav = 0, nat = 4, ntyp = 4
/
ATOMIC_SPECIES
Sc 44.96 Sc.upf
Ti 47.87 Ti.upf
Be 9.01 Be.upf
Mo 95.94 Mo.upf
CELL_PARAMETERS angstrom
0.0000 3.1635 3.1635
3.1635 0.0000 3.1635
3.1635 3.1635 0.0000
ATOMIC_POSITIONS crystal
Sc 0.0000 0.0000 0.0000
Ti 0.5000 0.5000 0.5000
Be 0.2500 0.2500 0.2500
Mo 0.7500 0.7500 0.7500

3.
! ScBe2TlMo | Alexandria via LeMat-Bulk | PBE | optimized geometry; values from VASP
! energy of formation	37.052	kcal/mol of atoms
! uncorrected energy	-18.95	eV/cell
&SYSTEM
  ibrav = 0, nat = 5, ntyp = 4
/
ATOMIC_SPECIES
Sc 44.96 Sc.upf
Be 9.01 Be.upf
Tl 204.38 Tl.upf
Mo 95.94 Mo.upf
CELL_PARAMETERS angstrom
4.7574 0.0000 0.0000
0.0000 4.7574 0.0000
0.0000 0.0000 4.5307
ATOMIC_POSITIONS crystal
Sc 0.0000 0.0000 0.0000
Be 0.0000 0.5000 0.0000
Be 0.5000 0.0000 0.0000
Tl 0.5000 0.5000 0.5000
Mo 0.0000 0.0000 0.5000

4.
! Sc2BeVMo | Alexandria via LeMat-Bulk | PBE | optimized geometry; values from VASP
! energy of formation	24.396	kcal/mol of atoms
! uncorrected energy	-31.05	eV/cell
&SYSTEM
  ibrav = 0, nat = 5, ntyp = 4
/
ATOMIC_SPECIES
Sc 44.96 Sc.upf
Be 9.01 Be.upf
V 50.94 V.upf
Mo 95.94 Mo.upf
CELL_PARAMETERS angstrom
5.0315 0.0000 0.0000
0.0000 5.0315 0.0000
0.0000 0.0000 4.4980
ATOMIC_POSITIONS crystal
Sc 0.0000 0.5000 0.0000
Sc 0.5000 0.0000 0.0000
Be 0.0000 0.0000 0.5000
V 0.5000 0.5000 0.5000
Mo 0.5000 0.5000 0.0000